Compound: Nd12Al3In
Source: Alexandria
Functional: PBE
Structure: relaxed

Cell and atoms, written as POSCAR:
```
Nd12Al3In
1.0
4.919 0.000 0.000
0.000 4.919 0.000
0.000 0.000 19.711
Nd Al In
12 3 1
Direct
0.000 0.000 0.000
0.000 0.000 0.247
0.000 0.000 0.500
0.000 0.000 0.753
0.000 0.500 0.124
0.000 0.500 0.371
0.000 0.500 0.629
0.000 0.500 0.876
0.500 0.000 0.124
0.500 0.000 0.371
0.500 0.000 0.629
0.500 0.000 0.876
0.500 0.500 0.000
0.500 0.500 0.248
0.500 0.500 0.752
0.500 0.500 0.500
```

=====

Compound: Nd6AlIn3
Source: Alexandria
Functional: PBE
Structure: relaxed

Cell and atoms, written as POSCAR:
```
Nd6AlIn3
1.0
9.616 0.000 0.000
0.000 5.401 0.000
-3.501 0.000 11.386
Nd Al In
12 2 6
Direct
0.036 0.250 0.411
0.165 0.750 0.172
0.264 0.250 0.000
0.349 0.750 0.816
0.375 0.250 0.344
0.402 0.250 0.624
0.598 0.750 0.376
0.625 0.750 0.656
0.651 0.250 0.184
0.736 0.750 0.000
0.835 0.250 0.828
0.964 0.750 0.589
0.456 0.750 0.104
0.544 0.250 0.896
0.029 0.750 0.881
0.117 0.250 0.718
0.270 0.750 0.471
0.730 0.250 0.529
0.883 0.750 0.282
0.971 0.250 0.119
```

=====

Compound: Nd3AlIn
Source: Alexandria
Functional: PBE
Structure: relaxed

Cell and atoms, written as POSCAR:
```
Nd3AlIn
1.0
8.346 0.000 0.000
-4.173 7.228 0.000
0.000 0.000 5.262
Nd Al In
6 2 2
Direct
0.191 0.383 0.250
0.191 0.809 0.250
0.383 0.191 0.750
0.617 0.809 0.250
0.809 0.191 0.750
0.809 0.617 0.750
0.000 0.000 0.000
0.000 0.000 0.500
0.333 0.667 0.750
0.667 0.333 0.250
```

=====

Compound: Nd4Al2In
Source: Alexandria
Functional: PBE
Structure: relaxed

Cell and atoms, written as POSCAR:
```
Nd4Al2In
1.0
2.641 1.525 8.534
-2.641 1.525 8.534
0.000 -3.050 8.534
Nd Al In
4 2 1
Direct
0.116 0.116 0.116
0.369 0.369 0.369
0.631 0.631 0.631
0.884 0.884 0.884
0.247 0.247 0.247
0.753 0.753 0.753
0.500 0.500 0.500
```

=====

Compound: Nd3Al2In3
Source: Alexandria
Functional: PBE
Structure: relaxed

Cell and atoms, written as POSCAR:
```
Nd3Al2In3
1.0
2.314 -5.788 0.000
2.314 5.788 0.000
0.000 0.000 15.837
Nd Al In
6 4 6
Direct
0.073 0.927 0.611
0.073 0.927 0.889
0.353 0.647 0.750
0.647 0.353 0.250
0.927 0.073 0.111
0.927 0.073 0.389
0.217 0.783 0.110
0.217 0.783 0.390
0.783 0.217 0.610
0.783 0.217 0.890
0.367 0.633 0.250
0.374 0.626 0.538
0.374 0.626 0.962
0.626 0.374 0.038
0.626 0.374 0.462
0.633 0.367 0.750
```

=====

Compound: Nd3Al4In2
Source: Alexandria
Functional: PBE
Structure: relaxed

Cell and atoms, written as POSCAR:
```
Nd3Al4In2
1.0
5.570 -2.355 0.000
5.570 2.355 0.000
-3.430 0.000 8.305
Nd Al In
3 4 2
Direct
0.000 0.000 0.000
0.337 0.337 0.330
0.663 0.663 0.670
0.051 0.051 0.390
0.268 0.268 0.943
0.732 0.732 0.057
0.949 0.949 0.610
0.382 0.382 0.718
0.618 0.618 0.282
```

=====

Compound: Nd4AlIn2
Source: Alexandria
Functional: PBE
Structure: relaxed

Cell and atoms, written as POSCAR:
```
Nd4AlIn2
1.0
-2.922 2.922 6.704
2.922 -2.922 6.704
2.922 2.922 -6.704
Nd Al In
4 1 2
Direct
0.000 0.500 0.500
0.250 0.750 0.500
0.500 0.000 0.500
0.750 0.250 0.500
0.000 0.000 0.000
0.377 0.377 0.000
0.623 0.623 0.000
```

=====

Compound: NdAlIn
Source: Alexandria
Functional: PBE
Structure: relaxed

Cell and atoms, written as POSCAR:
```
NdAlIn
1.0
-1.769 1.769 6.027
1.769 -1.769 6.027
1.769 1.769 -6.027
Nd Al In
1 1 1
Direct
0.000 0.000 0.000
0.327 0.327 0.000
0.694 0.694 0.000
```

=====

Compound: Nd2Al2In
Source: Alexandria
Functional: PBE
Structure: relaxed

Cell and atoms, written as POSCAR:
```
Nd2Al2In
1.0
2.275 -7.435 0.000
2.275 7.435 0.000
0.000 0.000 3.735
Nd Al In
2 2 1
Direct
0.123 0.877 0.000
0.877 0.123 0.000
0.297 0.703 0.500
0.703 0.297 0.500
0.500 0.500 0.500
```

=====

Compound: Nd8AlIn2
Source: Alexandria
Functional: PBE
Structure: relaxed

Cell and atoms, written as POSCAR:
```
Nd8AlIn2
1.0
9.592 -2.684 0.000
9.592 2.684 0.000
-2.120 0.000 6.773
Nd Al In
8 1 2
Direct
0.011 0.011 0.268
0.205 0.205 0.799
0.343 0.343 0.531
0.408 0.408 0.038
0.592 0.592 0.962
0.657 0.657 0.469
0.795 0.795 0.201
0.989 0.989 0.732
0.500 0.500 0.500
0.178 0.178 0.229
0.822 0.822 0.771
```

=====

Compound: Nd12AlIn6
Source: Alexandria
Functional: PBE
Structure: relaxed

Cell and atoms, written as POSCAR:
```
Nd12AlIn6
1.0
5.823 3.362 4.867
-5.823 3.362 4.867
0.000 -6.724 4.867
Nd Al In
12 1 6
Direct
0.023 0.311 0.933
0.067 0.977 0.689
0.126 0.378 0.434
0.311 0.933 0.023
0.378 0.434 0.126
0.434 0.126 0.378
0.566 0.874 0.622
0.622 0.566 0.874
0.689 0.067 0.977
0.874 0.622 0.566
0.933 0.023 0.311
0.977 0.689 0.067
0.500 0.500 0.500
0.239 0.753 0.382
0.247 0.618 0.761
0.382 0.239 0.753
0.618 0.761 0.247
0.753 0.382 0.239
0.761 0.247 0.618
```

=====

Compound: NdAlIn
Source: Alexandria
Functional: PBE
Structure: relaxed

Cell and atoms, written as POSCAR:
```
NdAlIn
1.0
4.812 0.000 0.000
-2.406 4.167 0.000
0.000 0.000 3.709
Nd Al In
1 1 1
Direct
0.000 0.000 0.000
0.333 0.667 0.500
0.667 0.333 0.500
```

=====

Compound: NdAlIn
Source: Alexandria
Functional: PBE
Structure: relaxed

Cell and atoms, written as POSCAR:
```
NdAlIn
1.0
3.832 0.000 0.000
0.000 4.431 0.000
0.000 0.000 5.068
Nd Al In
1 1 1
Direct
0.000 0.000 0.000
0.500 0.000 0.500
0.000 0.500 0.500
```

=====

Compound: NdAl2In
Source: Alexandria
Functional: PBE
Structure: relaxed

Cell and atoms, written as POSCAR:
```
NdAl2In
1.0
2.556 1.476 4.147
-2.556 1.476 4.147
0.000 -2.951 4.147
Nd Al In
1 2 1
Direct
0.000 0.000 0.000
0.251 0.251 0.251
0.749 0.749 0.749
0.500 0.500 0.500
```

=====

Compound: Nd8Al2In
Source: Alexandria
Functional: PBE
Structure: relaxed

Cell and atoms, written as POSCAR:
```
Nd8Al2In
1.0
8.662 -2.520 0.000
8.662 2.520 0.000
-3.032 0.000 7.651
Nd Al In
8 2 1
Direct
0.054 0.054 0.231
0.151 0.151 0.722
0.320 0.320 0.556
0.394 0.394 0.042
0.606 0.606 0.958
0.680 0.680 0.444
0.849 0.849 0.278
0.946 0.946 0.769
0.221 0.221 0.153
0.779 0.779 0.847
0.500 0.500 0.500
```

=====

Compound: Nd5Al4In
Source: Alexandria
Functional: PBE
Structure: relaxed

Cell and atoms, written as POSCAR:
```
Nd5Al4In
1.0
3.751 0.000 0.000
0.000 3.751 0.000
0.000 0.000 18.885
Nd Al In
5 4 1
Direct
0.000 0.000 0.000
0.000 0.000 0.195
0.000 0.000 0.392
0.000 0.000 0.608
0.000 0.000 0.805
0.500 0.500 0.098
0.500 0.500 0.294
0.500 0.500 0.706
0.500 0.500 0.902
0.500 0.500 0.500
```

=====

Compound: Nd6AlIn2
Source: Alexandria
Functional: PBE
Structure: relaxed

Cell and atoms, written as POSCAR:
```
Nd6AlIn2
1.0
8.446 0.000 0.000
-4.223 7.315 0.000
0.000 0.000 4.585
Nd Al In
6 1 2
Direct
0.000 0.258 0.000
0.000 0.596 0.500
0.258 0.000 0.000
0.404 0.404 0.500
0.596 0.000 0.500
0.742 0.742 0.000
0.000 0.000 0.500
0.333 0.667 0.000
0.667 0.333 0.000
```

=====

Compound: Nd4AlIn2
Source: Alexandria
Functional: PBE
Structure: relaxed

Cell and atoms, written as POSCAR:
```
Nd4AlIn2
1.0
2.678 1.546 8.748
-2.678 1.546 8.748
0.000 -3.092 8.748
Nd Al In
4 1 2
Direct
0.122 0.122 0.122
0.374 0.374 0.374
0.626 0.626 0.626
0.878 0.878 0.878
0.500 0.500 0.500
0.250 0.250 0.250
0.750 0.750 0.750
```

=====

Compound: Nd4Al3In
Source: Alexandria
Functional: PBE
Structure: relaxed

Cell and atoms, written as POSCAR:
```
Nd4Al3In
1.0
4.322 0.000 0.000
0.000 4.581 0.000
0.000 0.000 11.630
Nd Al In
4 3 1
Direct
0.000 0.000 0.000
0.000 0.500 0.489
0.500 0.000 0.709
0.500 0.500 0.213
0.000 0.000 0.285
0.500 0.000 0.420
0.500 0.500 0.930
0.000 0.500 0.779
```

=====

Compound: Nd6Al2In
Source: Alexandria
Functional: PBE
Structure: relaxed

Cell and atoms, written as POSCAR:
```
Nd6Al2In
1.0
5.920 0.000 0.000
0.000 9.218 0.000
-4.750 0.000 9.988
Nd Al In
12 4 2
Direct
0.016 0.159 0.081
0.016 0.341 0.581
0.380 0.516 0.306
0.380 0.984 0.806
0.407 0.172 0.440
0.407 0.328 0.940
0.593 0.672 0.060
0.593 0.828 0.560
0.620 0.016 0.194
0.620 0.484 0.694
0.984 0.659 0.419
0.984 0.841 0.919
0.177 0.645 0.746
0.177 0.855 0.246
0.823 0.145 0.754
0.823 0.355 0.254
0.000 0.000 0.500
0.000 0.500 0.000
```

=====

Compound: Nd12Al6In
Source: Alexandria
Functional: PBE
Structure: relaxed

Cell and atoms, written as POSCAR:
```
Nd12Al6In
1.0
7.148 4.127 3.208
-7.148 4.127 3.208
0.000 -8.254 3.208
Nd Al In
12 6 1
Direct
0.103 0.427 0.175
0.150 0.464 0.625
0.175 0.103 0.427
0.375 0.850 0.536
0.427 0.175 0.103
0.464 0.625 0.150
0.536 0.375 0.850
0.573 0.825 0.897
0.625 0.150 0.464
0.825 0.897 0.573
0.850 0.536 0.375
0.897 0.573 0.825
0.151 0.243 0.838
0.162 0.849 0.757
0.243 0.838 0.151
0.757 0.162 0.849
0.838 0.151 0.243
0.849 0.757 0.162
0.500 0.500 0.500
```

=====

Compound: Nd4Al2In
Source: Alexandria
Functional: PBE
Structure: relaxed

Cell and atoms, written as POSCAR:
```
Nd4Al2In
1.0
7.541 0.000 0.000
0.000 6.590 0.000
-3.089 0.000 8.406
Nd Al In
8 4 2
Direct
0.098 0.250 0.059
0.164 0.007 0.723
0.164 0.493 0.723
0.337 0.750 0.307
0.663 0.250 0.693
0.836 0.507 0.277
0.836 0.993 0.277
0.902 0.750 0.941
0.228 0.250 0.440
0.481 0.750 0.007
0.519 0.250 0.993
0.772 0.750 0.560
0.489 0.750 0.683
0.511 0.250 0.317
```

=====

In the order shown, the computed formation energy from the elements values come out to -0.195; -0.356; -0.162; -0.257; -0.461; -0.462; -0.033; -0.250; -0.477; -0.209; -0.261; -0.454; -0.085; -0.065; -0.201; -0.379; -0.276; -0.280; -0.363; -0.150; -0.065; -0.126 eV per atom.
In the order shown, the computed calculated total energy values come out to -4.644; -4.413; -4.319; -4.442; -4.211; -4.323; -4.074; -4.000; -4.429; -4.515; -4.334; -4.203; -3.835; -3.813; -4.598; -4.534; -4.479; -4.321; -4.492; -4.465; -4.402; -4.310 eV per atom.